Entry 1:
First-principles (PBE) data for a geometry-optimized CoCl5 structure, as listed in OQMD via LeMat-Bulk.

Structure (extended XYZ):
```
24
Lattice="7.532 0.000 0.000 0.000 9.550 0.000 -7.364 0.000 7.556" Properties=species:S:1:pos:R:3 pbc="T T T"
Cl 2.703 8.484 0.310
Cl 2.829 3.390 0.329
Cl 0.593 1.152 1.031
Cl 0.509 5.917 1.327
Cl 5.514 8.336 1.728
Cl -1.664 3.561 2.051
Cl 3.341 1.142 2.451
Cl 3.257 5.927 2.747
Cl 1.021 8.164 3.449
Cl 1.147 3.709 3.469
Cl -0.979 5.840 4.088
Cl -0.853 1.385 4.108
Cl -3.089 3.623 4.810
Cl -3.173 8.408 5.105
Cl 1.832 5.989 5.506
Cl -5.346 1.214 5.829
Cl -0.341 3.633 6.230
Cl -0.425 8.398 6.525
Cl -2.661 6.160 7.227
Cl -2.535 1.066 7.247
Co 2.653 1.227 0.366
Co 1.197 6.002 3.412
Co -1.029 3.547 4.145
Co -2.485 8.322 7.190
```

The final energy is -69.91 eV/cell. The symmetry is P2_1/c (14).



Entry 2:
First-principles (PBE) data for a geometry-optimized CoCl3 structure, as listed in OQMD via LeMat-Bulk.

Structure (extended XYZ):
```
8
Lattice="8.617 0.000 0.000 -4.308 7.462 0.000 0.000 0.000 3.084" Properties=species:S:1:pos:R:3 pbc="T T T"
Cl 0.000 3.182 0.771
Cl -1.553 5.871 0.771
Cl 1.553 5.871 0.771
Cl 2.755 1.591 2.313
Cl 5.861 1.591 2.313
Cl 4.308 4.280 2.313
Co 4.308 2.487 0.771
Co 0.000 4.975 2.313
```

The final energy is -27.79 eV/cell. The symmetry is P6_3/mmc (194).



Entry 3:
First-principles (PBE) data for a geometry-optimized CoCl2 structure, as listed in OQMD via LeMat-Bulk.

Structure (extended XYZ):
```
6
Lattice="3.599 2.078 5.877 -3.599 2.078 5.877 0.000 -4.156 5.877" Properties=species:S:1:pos:R:3 pbc="T T T"
Cl 1.800 1.039 9.551
Cl -1.800 1.039 9.551
Cl 0.000 0.000 6.612
Cl 0.000 -2.078 9.551
Co 0.000 0.000 4.408
Co 0.000 0.000 8.816
```

The final energy is -23.96 eV/cell. The symmetry is Fd-3m (227).



Entry 4:
First-principles (PBE) data for a geometry-optimized CoCl2 structure, as listed in OQMD via LeMat-Bulk.

Structure (extended XYZ):
```
6
Lattice="5.648 0.000 0.000 0.000 5.648 0.000 0.000 0.000 3.652" Properties=species:S:1:pos:R:3 pbc="T T T"
Cl 1.715 1.715 0.000
Cl 3.933 3.933 0.000
Cl 4.538 1.109 1.826
Cl 1.109 4.538 1.826
Co 0.000 0.000 0.000
Co 2.824 2.824 1.826
```

The final energy is -24.44 eV/cell. The symmetry is P4_2/mnm (136).



Entry 5:
First-principles (PBE) data for a geometry-optimized CoCl3 structure, as listed in OQMD via LeMat-Bulk.

Structure (extended XYZ):
```
16
Lattice="5.655 0.000 0.000 0.000 10.573 0.000 0.000 0.000 6.111" Properties=species:S:1:pos:R:3 pbc="T T T"
Cl 2.828 5.287 0.187
Cl 2.828 1.509 0.684
Cl 2.828 9.064 0.684
Cl 0.000 1.509 2.426
Cl 0.000 9.064 2.426
Cl 0.000 5.287 2.813
Cl 2.828 0.000 3.298
Cl 2.828 3.778 3.685
Cl 2.828 6.795 3.685
Cl 0.000 3.778 5.427
Cl 0.000 6.796 5.427
Cl 0.000 0.000 5.924
Co 1.414 0.000 1.555
Co 4.242 0.000 1.555
Co 1.414 5.287 4.556
Co 4.241 5.287 4.556
```

The final energy is -59.51 eV/cell. The symmetry is Pmmn (59).



Entry 6:
First-principles (PBE) data for a geometry-optimized CoCl2 structure, as listed in OQMD via LeMat-Bulk.

Structure (extended XYZ):
```
12
Lattice="-4.859 10.867 1.732 -2.961 -1.599 1.728 2.310 0.350 4.282" Properties=species:S:1:pos:R:3 pbc="T T T"
Cl -3.663 7.387 2.632
Cl -3.881 3.888 3.159
Cl -6.307 9.322 4.033
Cl -1.126 1.970 1.964
Cl -4.384 7.648 5.777
Cl 0.796 0.295 3.708
Cl -1.629 5.729 4.582
Cl -1.848 2.231 5.110
Co -2.525 3.643 1.116
Co -3.843 9.245 4.042
Co -1.667 0.373 3.699
Co -2.986 5.975 6.625
```

The final energy is -48.36 eV/cell. The symmetry is Pnma (62).



> Look up the final energy of the fifth one.

-59.51 eV/cell



> Among the records above, which one has the highest final energy?

number 3



> final energy of number 5 (CoCl3)?

-59.51 eV/cell